Record 1
Here is a relaxed structure of BeAs2 from the Alexandria database. Energies are from PBE.

POSCAR file:
```
BeAs2
1.0
0.976 -5.238 1.099
2.881 -4.336 -1.579
5.761 -0.119 4.057
As Be
4 2
Direct
0.052 0.052 0.314 As
0.948 0.948 0.686 As
0.310 0.310 0.237 As
0.690 0.690 0.763 As
0.304 0.304 0.564 Be
0.696 0.696 0.436 Be
```

Values from the calculation:
- Energy above the lowest structure with this stoichiometry: 78 meV/atom
- ΔH_f (0 K): 0.1417 eV/atom
- Space-group type: C2/m (12)
- V: 19.77 A^3/atom

Record 2
Here is a relaxed structure of Be3As from the Alexandria database. Energies are from PBE.

POSCAR file:
```
Be3As
1.0
4.018 0.000 0.000
2.009 3.479 0.000
2.009 1.160 3.280
As Be
1 3
Direct
0.000 0.000 0.000 As
0.250 0.250 0.250 Be
0.500 0.500 0.500 Be
0.750 0.750 0.750 Be
```

Values from the calculation:
- Energy above the lowest structure with this stoichiometry: 372 meV/atom
- ΔH_f (0 K): 0.6549 eV/atom
- Space-group type: Fm-3m (225)
- V: 11.46 A^3/atom

Record 3
Here is a relaxed structure of BeAs3 from the Alexandria database. Energies are from PBE.

POSCAR file:
```
BeAs3
1.0
-3.801 0.505 -1.486
1.257 -1.352 -3.675
-0.940 -3.851 1.095
As Be
3 1
Direct
0.500 0.000 0.500 As
0.000 0.500 0.500 As
0.500 0.500 0.000 As
0.000 0.000 0.000 Be
```

Values from the calculation:
- Energy above the lowest structure with this stoichiometry: 457 meV/atom
- ΔH_f (0 K): 0.6352 eV/atom
- Space-group type: Pm-3m (221)
- V: 17.38 A^3/atom

Record 4
Here is a relaxed structure of BeAs3 from the Alexandria database. Energies are from PBE.

POSCAR file:
```
BeAs3
1.0
-0.939 2.165 2.947
-0.141 -4.466 3.236
7.637 0.994 1.703
As Be
6 2
Direct
0.000 0.225 0.107 As
0.500 0.725 0.893 As
0.500 0.275 0.893 As
0.500 0.000 0.424 As
0.000 0.500 0.576 As
0.000 0.775 0.107 As
0.500 0.500 0.447 Be
0.000 0.000 0.553 Be
```

Values from the calculation:
- Energy above the lowest structure with this stoichiometry: 135 meV/atom
- ΔH_f (0 K): 0.3133 eV/atom
- Space-group type: Pmmn (59)
- V: 20.54 A^3/atom

Record 5
Here is a relaxed structure of BeAs from the Alexandria database. Energies are from PBE.

POSCAR file:
```
BeAs
1.0
2.650 0.000 0.000
0.000 2.650 0.000
0.000 0.000 8.451
As Be
2 2
Direct
0.250 0.250 0.189 As
0.750 0.750 0.811 As
0.250 0.250 0.583 Be
0.750 0.750 0.417 Be
```

Values from the calculation:
- Energy above the lowest structure with this stoichiometry: 437 meV/atom
- ΔH_f (0 K): 0.4399 eV/atom
- Space-group type: P4/nmm (129)
- V: 14.84 A^3/atom

Record 6
Here is a relaxed structure of BeAs3 from the Alexandria database. Energies are from PBE.

POSCAR file:
```
BeAs3
1.0
3.983 -6.899 0.000
3.983 6.899 0.000
0.000 0.000 3.615
Be As
2 6
Direct
0.333 0.667 0.250 Be
0.667 0.333 0.750 Be
0.454 0.227 0.250 As
0.227 0.773 0.750 As
0.546 0.773 0.750 As
0.227 0.454 0.750 As
0.773 0.227 0.250 As
0.773 0.546 0.250 As
```

Values from the calculation:
- Energy above the lowest structure with this stoichiometry: 29 meV/atom
- ΔH_f (0 K): 0.2067 eV/atom
- Space-group type: P6_3/mmc (194)
- V: 24.83 A^3/atom

Record 7
Here is a relaxed structure of Be3As from the Alexandria database. Energies are from PBE.

POSCAR file:
```
Be3As
1.0
-2.569 0.016 0.460
0.050 -2.584 0.368
1.177 0.954 6.536
Be As
3 1
Direct
0.500 0.500 0.310 Be
0.000 0.000 0.500 Be
0.500 0.500 0.690 Be
0.000 0.000 0.000 As
```

Values from the calculation:
- Energy above the lowest structure with this stoichiometry: 145 meV/atom
- ΔH_f (0 K): 0.4284 eV/atom
- Space-group type: P4/mmm (123)
- V: 11.43 A^3/atom

Record 8
Here is a relaxed structure of BeAs from the Alexandria database. Energies are from PBE.

POSCAR file:
```
BeAs
1.0
10.784 0.000 0.000
0.000 3.868 0.000
0.000 0.000 4.684
Be As
6 6
Direct
0.500 0.982 0.910 Be
0.695 0.613 0.241 Be
0.000 0.018 0.410 Be
0.305 0.613 0.241 Be
0.195 0.387 0.741 Be
0.805 0.387 0.741 Be
0.690 0.882 0.719 As
0.310 0.882 0.719 As
0.810 0.118 0.219 As
0.500 0.463 0.172 As
0.000 0.537 0.672 As
0.190 0.118 0.219 As
```

Values from the calculation:
- Energy above the lowest structure with this stoichiometry: 62 meV/atom
- ΔH_f (0 K): 0.0651 eV/atom
- Space-group type: Pmn2_1 (31)
- V: 16.28 A^3/atom

Record 9
Here is a relaxed structure of BeBiAs2 from the Alexandria database. Energies are from PBE.

POSCAR file:
```
BeBiAs2
1.0
3.501 0.000 0.000
1.751 3.032 0.000
1.751 1.011 8.343
Bi Be As
1 1 2
Direct
0.000 0.000 0.000 Bi
0.500 0.500 0.500 Be
0.120 0.120 0.640 As
0.880 0.880 0.360 As
```

Values from the calculation:
- ΔH_f (0 K): 0.1829 eV/atom
- Space-group type: R-3m (166)
- V: 22.14 A^3/atom

Record 10
Here is a relaxed structure of BeBiAs from the Alexandria database. Energies are from PBE.

POSCAR file:
```
BeBiAs
1.0
3.745 0.000 0.000
1.872 3.243 0.000
1.872 1.081 5.963
Be As Bi
1 1 1
Direct
0.095 0.095 0.716 Be
0.413 0.413 0.761 As
0.566 0.566 0.303 Bi
```

Values from the calculation:
- Energy above the lowest structure with this stoichiometry: 0 meV/atom
- ΔH_f (0 K): 0.0305 eV/atom
- Space-group type: R3m (160)
- V: 24.14 A^3/atom

Record 11
Here is a relaxed structure of Be2BiAs2 from the Alexandria database. Energies are from PBE.

POSCAR file:
```
Be2BiAs2
1.0
3.656 0.000 0.000
0.000 3.656 0.000
1.828 1.828 6.785
Bi As Be
1 2 2
Direct
0.000 0.000 0.000 Bi
0.354 0.354 0.291 As
0.646 0.646 0.709 As
0.250 0.750 0.500 Be
0.750 0.250 0.500 Be
```

Values from the calculation:
- ΔH_f (0 K): 0.0931 eV/atom
- Space-group type: I4/mmm (139)
- V: 18.14 A^3/atom

Record 12
Here is a relaxed structure of BeBi2As from the Alexandria database. Energies are from PBE.

POSCAR file:
```
BeBi2As
1.0
6.149 0.000 0.000
0.000 6.149 0.000
3.075 3.075 6.277
Bi Be As
4 2 2
Direct
0.175 0.625 0.250 Bi
0.575 0.125 0.250 Bi
0.375 0.425 0.750 Bi
0.875 0.825 0.750 Bi
0.250 0.750 0.500 Be
0.500 0.500 0.000 Be
0.000 0.000 0.000 As
0.750 0.250 0.500 As
```

Values from the calculation:
- Energy above the lowest structure with this stoichiometry: 0 meV/atom
- ΔH_f (0 K): 0.3070 eV/atom
- Space-group type: I-42d (122)
- V: 29.67 A^3/atom

Record 13
Here is a relaxed structure of BeBi3As from the Alexandria database. Energies are from PBE.

POSCAR file:
```
BeBi3As
1.0
5.090 0.000 0.000
0.000 5.090 0.000
0.000 0.000 5.090
Bi As Be
3 1 1
Direct
0.000 0.000 0.500 Bi
0.000 0.500 0.000 Bi
0.500 0.000 0.000 Bi
0.500 0.500 0.500 As
0.000 0.000 0.000 Be
```

Values from the calculation:
- Energy above the lowest structure with this stoichiometry: 0 meV/atom
- ΔH_f (0 K): 0.5693 eV/atom
- Space-group type: Pm-3m (221)
- V: 26.37 A^3/atom

Record 14
Here is a relaxed structure of BeBiAs2 from the Alexandria database. Energies are from PBE.

POSCAR file:
```
BeBiAs2
1.0
-5.758 -0.675 0.383
-0.298 -0.722 -5.757
-2.307 -6.454 -2.003
As Bi Be
4 2 2
Direct
0.375 0.464 0.750 As
0.875 0.786 0.750 As
0.536 0.125 0.250 As
0.214 0.625 0.250 As
0.750 0.250 0.500 Bi
0.000 0.000 0.000 Bi
0.500 0.500 0.000 Be
0.250 0.750 0.500 Be
```

Values from the calculation:
- ΔH_f (0 K): 0.0368 eV/atom
- Space-group type: I-42d (122)
- V: 24.64 A^3/atom

Record 15
Here is a relaxed structure of BeBiAs from the Alexandria database. Energies are from PBE.

POSCAR file:
```
BeBiAs
1.0
3.755 0.000 0.000
-1.877 3.252 0.000
0.000 0.000 5.065
Bi Be As
1 1 1
Direct
0.000 0.000 0.970 Bi
0.333 0.667 0.572 Be
0.667 0.333 0.458 As
```

Values from the calculation:
- Energy above the lowest structure with this stoichiometry: 95 meV/atom
- ΔH_f (0 K): 0.1258 eV/atom
- Space-group type: P3m1 (156)
- V: 20.62 A^3/atom

Record 16
Here is a relaxed structure of BeBi2As from the Alexandria database. Energies are from PBE.

POSCAR file:
```
BeBi2As
1.0
0.000 3.602 3.602
3.602 0.000 3.602
3.602 3.602 0.000
Bi Be As
2 1 1
Direct
0.250 0.250 0.250 Bi
0.750 0.750 0.750 Bi
0.000 0.000 0.000 Be
0.500 0.500 0.500 As
```

Values from the calculation:
- Energy above the lowest structure with this stoichiometry: 265 meV/atom
- ΔH_f (0 K): 0.5724 eV/atom
- Space-group type: Fm-3m (225)
- V: 23.37 A^3/atom

Record 17
Here is a relaxed structure of BeBi2AsBr from the Alexandria database. Energies are from PBE.

POSCAR file:
```
BeBi2AsBr
1.0
-5.045 -0.816 1.878
-0.048 -3.856 -1.803
2.046 -2.158 4.561
Be Bi As Br
1 2 1 1
Direct
0.000 0.000 0.000 Be
0.000 0.000 0.500 Bi
0.500 0.000 0.000 Bi
0.000 0.500 0.000 As
0.500 0.500 0.500 Br
```

Values from the calculation:
- Energy above the lowest structure with this stoichiometry: 0 meV/atom
- Space-group type: P4/mmm (123)
- Raw formation energy: 0.312 eV per atom
- V: 25.24 A^3/atom

Record 18
Here is a relaxed structure of BeBi2AsBr from the Alexandria database. Energies are from PBE.

POSCAR file:
```
BeBi2AsBr
1.0
-4.360 3.454 0.979
-0.726 -2.215 4.584
3.500 3.748 2.366
Bi Br Be As
2 1 1 1
Direct
0.500 0.000 0.000 Bi
0.000 0.000 0.500 Bi
0.000 0.500 0.000 Br
0.500 0.500 0.500 Be
0.000 0.000 0.000 As
```

Values from the calculation:
- Energy above the lowest structure with this stoichiometry: 626 meV/atom
- Space-group type: P4/mmm (123)
- Raw formation energy: 0.938 eV per atom
- V: 32.81 A^3/atom

Record 19
Here is a relaxed structure of CaBeBiAs2 from the Alexandria database. Energies are from PBE.

POSCAR file:
```
CaBeBiAs2
1.0
4.600 0.000 0.000
0.000 5.484 0.000
0.000 0.000 4.600
Be Ca As Bi
1 1 2 1
Direct
0.000 0.000 0.000 Be
0.500 0.500 0.500 Ca
0.500 0.000 0.000 As
0.000 0.000 0.500 As
0.000 0.500 0.000 Bi
```

Values from the calculation:
- Energy above the lowest structure with this stoichiometry: 0 meV/atom
- ΔH_f (0 K): 0.0072 eV/atom
- Space-group type: P4/mmm (123)
- V: 23.21 A^3/atom

Record 20
Here is a relaxed structure of CaBe2BiAs from the Alexandria database. Energies are from PBE.

POSCAR file:
```
CaBe2BiAs
1.0
4.440 0.000 0.000
0.000 5.611 0.000
0.000 0.000 4.440
Be Ca Bi As
2 1 1 1
Direct
0.500 0.000 0.000 Be
0.000 0.000 0.500 Be
0.000 0.500 0.000 Ca
0.500 0.500 0.500 Bi
0.000 0.000 0.000 As
```

Values from the calculation:
- ΔH_f (0 K): 0.1731 eV/atom
- Space-group type: P4/mmm (123)
- V: 22.12 A^3/atom

Record 21
Here is a relaxed structure of CaBeBiAs2 from the Alexandria database. Energies are from PBE.

POSCAR file:
```
CaBeBiAs2
1.0
-3.491 -3.909 1.604
2.667 -3.864 -3.614
3.431 -1.407 4.036
Bi Be As Ca
1 1 2 1
Direct
0.000 0.000 0.000 Bi
0.500 0.500 0.500 Be
0.500 0.000 0.000 As
0.000 0.000 0.500 As
0.000 0.500 0.000 Ca
```

Values from the calculation:
- Energy above the lowest structure with this stoichiometry: 1021 meV/atom
- ΔH_f (0 K): 1.0280 eV/atom
- Space-group type: P4/mmm (123)
- V: 35.60 A^3/atom

Record 22
Here is a relaxed structure of Be2CoBiAs from the Alexandria database. Energies are from PBE.

POSCAR file:
```
Be2CoBiAs
1.0
-4.586 -0.187 -0.367
0.380 -4.206 -2.596
-0.213 -2.430 3.906
As Be Bi Co
1 2 1 1
Direct
0.500 0.500 0.500 As
0.000 0.000 0.500 Be
0.500 0.000 0.000 Be
0.000 0.000 0.000 Bi
0.000 0.500 0.000 Co
```

Values from the calculation:
- ΔH_f (0 K): 1.4636 eV/atom
- Space-group type: P4/mmm (123)
- V: 21.02 A^3/atom

Record 23
Here is a relaxed structure of BeHgBi2As from the Alexandria database. Energies are from PBE.

POSCAR file:
```
BeHgBi2As
1.0
-4.152 1.362 2.865
0.897 -3.429 2.930
3.004 3.204 2.831
Bi As Be Hg
2 1 1 1
Direct
0.500 0.000 0.000 Bi
0.000 0.000 0.500 Bi
0.500 0.500 0.500 As
0.000 0.000 0.000 Be
0.000 0.500 0.000 Hg
```

Values from the calculation:
- ΔH_f (0 K): 0.4402 eV/atom
- Space-group type: P4/mmm (123)
- V: 25.11 A^3/atom

Record 24
Here is a relaxed structure of BeBi2AsOs from the Alexandria database. Energies are from PBE.

POSCAR file:
```
BeBi2AsOs
1.0
5.113 0.000 0.000
0.000 4.093 0.000
0.000 0.000 5.113
As Be Os Bi
1 1 1 2
Direct
0.000 0.500 0.000 As
0.000 0.000 0.000 Be
0.500 0.500 0.500 Os
0.000 0.000 0.500 Bi
0.500 0.000 0.000 Bi
```

Values from the calculation:
- ΔH_f (0 K): 1.1527 eV/atom
- Space-group type: P4/mmm (123)
- V: 21.40 A^3/atom

Record 25
Here is a relaxed structure of Be2BiAsRh from the Alexandria database. Energies are from PBE.

POSCAR file:
```
Be2BiAsRh
1.0
4.248 0.000 0.000
0.000 4.983 0.000
0.000 0.000 4.248
Bi Rh As Be
1 1 1 2
Direct
0.500 0.500 0.500 Bi
0.000 0.500 0.000 Rh
0.000 0.000 0.000 As
0.000 0.000 0.500 Be
0.500 0.000 0.000 Be
```

Values from the calculation:
- ΔH_f (0 K): 0.4802 eV/atom
- Space-group type: P4/mmm (123)
- V: 17.98 A^3/atom

Record 26
Here is a relaxed structure of BeBi2SbAs from the Alexandria database. Energies are from PBE.

POSCAR file:
```
BeBi2SbAs
1.0
5.591 0.000 0.000
0.000 5.591 0.000
0.000 0.000 5.249
As Sb Bi Be
1 1 2 1
Direct
0.000 0.000 0.000 As
0.000 0.000 0.500 Sb
0.000 0.500 0.000 Bi
0.500 0.000 0.000 Bi
0.500 0.500 0.500 Be
```

Values from the calculation:
- Space-group type: P4/mmm (123)
- Raw formation energy: 1.097 eV per atom
- V: 32.82 A^3/atom

Record 27
Here is a relaxed structure of TaBe2BiAs from the Alexandria database. Energies are from PBE.

POSCAR file:
```
TaBe2BiAs
1.0
4.447 0.000 0.000
0.000 5.759 0.000
0.000 0.000 4.447
Bi As Be Ta
1 1 2 1
Direct
0.000 0.000 0.000 Bi
0.000 0.500 0.000 As
0.000 0.000 0.500 Be
0.500 0.000 0.000 Be
0.500 0.500 0.500 Ta
```

Values from the calculation:
- ΔH_f (0 K): 1.7755 eV/atom
- Space-group type: P4/mmm (123)
- V: 22.78 A^3/atom

Record 28
Here is a relaxed structure of Be2AsBr from the Alexandria database. Energies are from PBE.

POSCAR file:
```
Be2AsBr
1.0
-2.621 2.452 -0.623
-0.641 -3.578 0.238
-1.001 0.621 6.657
As Be Br
1 2 1
Direct
0.500 0.500 0.750 As
0.000 0.000 0.545 Be
0.000 0.000 0.955 Be
0.500 0.500 0.250 Br
```

Values from the calculation:
- Energy above the lowest structure with this stoichiometry: 647 meV/atom
- Space-group type: Cmmm (65)
- Raw formation energy: 0.349 eV per atom
- V: 18.79 A^3/atom